[1]
An optimized crystal structure of LaErHgRu, computed with PBE.

Summary:
Final energy   -5.06 eV per atom
E_form   -0.290 eV per atom

a b c (Å): 5.139 5.139 5.139
angles (deg): 60.00 60.00 60.00
Fractional coordinates of all 4 atoms:
Hg (0.750, 0.750, 0.750)
Ru (0.250, 0.250, 0.250)
Er (0.500, 0.500, 0.500)
La (0.000, 0.000, 0.000)

=====

[2]
An optimized crystal structure of La2ErSc2Hg5, computed with PBE.

Summary:
Final energy   -3.23 eV per atom
E_form   -0.372 eV per atom

a b c (Å): 3.943 11.535 11.535
angles (deg): 90.00 90.00 90.00
Each line ends with the local moment (μB).
Fractional coordinates of all 20 atoms:
Hg (0.500, 0.805, 0.934)  0.00
Hg (0.500, 0.434, 0.305)  0.00
Hg (0.500, 0.566, 0.695)  0.00
Hg (0.500, 0.934, 0.195)  0.00
Hg (0.500, 0.195, 0.066)  0.00
Hg (0.500, 0.500, 0.000)  0.00
Hg (0.500, 0.066, 0.805)  0.00
Hg (0.500, 0.305, 0.566)  0.00
Hg (0.500, 0.695, 0.434)  0.00
Hg (0.500, 0.000, 0.500)  0.00
Er (0.000, 0.500, 0.500)  0.00
Er (0.000, 0.000, 0.000)  0.00
La (0.000, 0.824, 0.676)  -0.15
La (0.000, 0.676, 0.176)  -0.15
La (0.000, 0.176, 0.324)  -0.15
La (0.000, 0.324, 0.824)  -0.15
Sc (0.000, 0.374, 0.126)  -0.04
Sc (0.000, 0.626, 0.874)  -0.04
Sc (0.000, 0.126, 0.626)  -0.04
Sc (0.000, 0.874, 0.374)  -0.04

=====

[3]
An optimized crystal structure of LaErScHg, computed with PBE.

Summary:
Final energy   -4.12 eV per atom
E_form   -0.085 eV per atom

a b c (Å): 5.409 5.409 5.409
angles (deg): 60.00 60.00 60.00
Each line ends with the local moment (μB).
Fractional coordinates of all 4 atoms:
Er (0.250, 0.250, 0.250)  0.13
Hg (0.500, 0.500, 0.500)  0.00
Sc (0.000, 0.000, 0.000)  0.19
La (0.750, 0.750, 0.750)  0.06